Entry 1:
# ZrPb2Cl

A relaxed structure of ZrPb2Cl (PBE, the Alexandria database).

Output
DOS(E_F)	1.951	states/eV/cell
density	8.15	g/cm3
uncorrected formation energy	-0.3792	eV/atom
ΔE to the lowest computed polymorph	1.95	kcal/mol of atoms

Geometry as POSCAR:
```
ZrPb2Cl
1.0
3.2275 0.0000 0.0000
0.0000 3.2275 0.0000
0.0000 0.0000 10.5812
Pb Cl Zr
2 1 1
Cartesian
0.0000 0.0000 0.1430
1.6138 1.6138 3.1511
1.6138 1.6138 7.1088
0.0000 0.0000 5.4689
```

=====

Entry 2:
# PdCl2

A relaxed structure of PdCl2 (PBE, the Alexandria database).

Output
density	3.77	g/cm3
uncorrected formation energy	-0.4615	eV/atom

Geometry as POSCAR:
```
PdCl2
1.0
4.2363 0.0000 0.0000
0.0000 5.9620 -0.0287
0.0000 1.9122 6.1713
Pd Cl
2 4
Cartesian
2.1182 0.0000 0.0000
0.0000 0.9561 3.0857
1.0338 2.6860 4.2573
1.0843 1.7299 1.1716
3.1520 6.1443 4.9710
3.2025 5.1882 1.8854
```

=====

Entry 3:
# PdCl2

A relaxed structure of PdCl2 (PBE, the Alexandria database).

Output
DOS(E_F)	0.000	states/eV/cell
density	3.84	g/cm3
uncorrected formation energy	-0.4574	eV/atom

Geometry as POSCAR:
```
PdCl2
1.0
-1.8752 -6.6541 -0.1423
5.2765 0.4366 -5.1039
4.4360 -4.7797 3.1071
Pd Cl
4 8
Cartesian
0.5061 -4.5993 -1.3561
3.4599 -7.1597 -1.1231
7.3312 -6.3979 -0.7830
4.3775 -3.8374 -1.0161
4.9155 -3.9147 1.2528
2.1980 -3.3555 -0.3430
4.0004 -7.3324 1.1386
2.9219 -7.0825 -3.3919
1.2923 -6.6069 -0.4728
3.8370 -3.6647 -3.2777
5.6394 -7.6416 -1.7961
6.5451 -4.3903 -1.6664
```

=====

Entry 4:
# PdCl

A relaxed structure of PdCl (PBE, the Alexandria database).

Output
DOS(E_F)	42.757	states/eV/cell
density	5.35	g/cm3
uncorrected formation energy	0.0345	eV/atom

Geometry as POSCAR:
```
PdCl
1.0
8.1142 0.0000 0.0000
0.0000 12.0994 0.0000
0.0000 0.0000 7.1712
Cl Pd
16 16
Cartesian
2.2917 0.0000 3.5856
2.2917 6.0497 0.0000
4.3203 9.0745 5.3784
6.3488 6.0497 3.5856
3.7939 3.0248 5.3784
6.3488 0.0000 0.0000
4.3203 3.0248 1.7928
3.7939 9.0745 1.7928
7.8510 3.0248 1.7928
0.2632 9.0745 1.7928
7.8510 9.0745 5.3784
1.7654 6.0497 3.5856
5.8225 0.0000 3.5856
1.7654 0.0000 0.0000
5.8225 6.0497 0.0000
0.2632 3.0248 5.3784
4.0571 1.3456 0.0000
0.0000 7.3953 0.0000
6.0856 1.6792 5.3784
4.0571 4.7041 3.5856
4.0571 10.7538 0.0000
6.0856 7.7289 1.7928
4.0571 7.3953 3.5856
2.0285 10.4201 5.3784
2.0285 1.6792 1.7928
2.0285 4.3704 1.7928
6.0856 10.4201 1.7928
6.0856 4.3704 5.3784
0.0000 1.3456 3.5856
2.0285 7.7289 5.3784
0.0000 4.7041 0.0000
0.0000 10.7538 3.5856
```

=====

Entry 5:
# PdCl2

A relaxed structure of PdCl2 (PBE, the Alexandria database).

Output
density	3.61	g/cm3
uncorrected formation energy	-0.4726	eV/atom

Geometry as POSCAR:
```
PdCl2
1.0
8.4466 0.0109 0.0176
-2.6019 8.0359 0.0176
-2.6019 -3.5821 7.1934
Cl Pd
12 6
Cartesian
5.1199 -0.6911 5.7508
3.6010 6.5549 1.9568
5.4835 1.4067 0.4913
-0.7722 1.2992 2.9449
2.1898 -0.0999 2.4802
1.0531 4.5646 4.7483
1.4743 2.7822 1.0211
-0.3581 -2.0902 5.2718
4.0151 3.1655 4.2836
-2.2406 3.0580 6.7373
1.7686 1.6825 6.2075
-1.8770 5.1558 1.4778
2.2398 0.7032 0.2824
3.2668 5.2632 5.0031
-0.0239 -0.7985 2.2255
1.0031 3.7614 6.9462
3.9949 2.3540 6.4733
-0.7520 2.1107 0.7552
```

=====

Entry 6:
# PdCl

A relaxed structure of PdCl (PBE, the Alexandria database).

Output
DOS(E_F)	5.202	states/eV/cell
density	5.51	g/cm3
uncorrected formation energy	0.0754	eV/atom

Geometry as POSCAR:
```
PdCl
1.0
-2.3460 1.3543 2.4233
-0.8798 -2.9535 -1.9269
2.9709 -4.3459 5.3049
Cl Pd
2 2
Cartesian
0.7669 -3.9205 5.6591
-0.2298 -3.1834 1.5566
-1.2670 -0.9452 2.0273
0.7072 -4.5540 3.2296
```

=====

Entry 7:
# PdCl

A relaxed structure of PdCl (PBE, the Alexandria database).

Output
DOS(E_F)	7.924	states/eV/cell
density	5.51	g/cm3
uncorrected formation energy	-0.0712	eV/atom

Geometry as POSCAR:
```
PdCl
1.0
-4.3952 -7.8938 4.5438
3.3447 -0.7478 1.9362
-1.9236 3.8367 4.8047
Pd Cl
6 6
Cartesian
0.2705 1.8117 3.4092
-0.2760 -4.2076 3.6777
-0.0514 -0.1385 6.9052
-3.6850 -5.4677 5.3867
-1.6365 -2.9854 8.5439
-0.8749 -0.4207 2.4816
2.1244 0.3657 2.6902
-2.8884 -1.2485 6.2915
-1.5357 -4.5425 5.7241
-0.9889 1.4767 5.4557
-3.8818 -3.7189 8.4464
-0.0334 -1.8445 4.1710
```

=====

Entry 8:
# PdCl

A relaxed structure of PdCl (PBE, the Alexandria database).

Output
DOS(E_F)	1.365	states/eV/cell
density	5.42	g/cm3
uncorrected formation energy	-0.1920	eV/atom

Geometry as POSCAR:
```
PdCl
1.0
-0.7221 4.4775 -5.0111
-2.4181 -4.5752 -3.7396
-7.4031 1.7574 2.6371
Pd Cl
8 8
Cartesian
-7.0136 -1.1692 -0.2777
-4.6387 2.9588 -3.0150
-2.0565 -1.9003 -4.1903
-3.2827 0.6172 -3.2898
-6.3741 5.3295 -3.1918
-9.7768 1.7731 -4.3535
-4.4164 -1.4581 -5.4681
-4.6149 0.4877 -0.6684
-5.5664 2.5389 -0.9719
-6.7496 1.4859 -6.3054
-8.1195 1.0572 -2.9587
-5.2831 -0.3763 -3.6226
-1.2586 1.7251 -3.3455
-4.0473 3.1409 -5.2109
-7.7955 0.4847 1.0462
-3.3535 -3.4176 -3.0858
```

=====

Entry 9:
# PdCl

A relaxed structure of PdCl (PBE, the Alexandria database).

Output
DOS(E_F)	10.856	states/eV/cell
density	4.90	g/cm3
uncorrected formation energy	0.0376	eV/atom

Geometry as POSCAR:
```
PdCl
1.0
7.1099 0.0000 0.0000
0.0000 7.1099 0.0000
0.0000 0.0000 3.8024
Pd Cl
4 4
Cartesian
2.6246 2.6246 0.0000
0.9304 6.1795 1.9012
6.1795 0.9304 1.9012
4.4853 4.4853 0.0000
1.5489 1.5489 1.9012
5.1039 2.0060 0.0000
2.0060 5.1039 0.0000
5.5609 5.5609 1.9012
```

=====

Entry 10:
# PdCl2

A relaxed structure of PdCl2 (PBE, the Alexandria database).

Output
density	3.34	g/cm3
uncorrected formation energy	-0.4425	eV/atom

Geometry as POSCAR:
```
PdCl2
1.0
3.4169 0.0000 0.0000
0.0000 6.3914 0.0000
0.0000 0.0000 8.0628
Pd Cl
2 4
Cartesian
1.7084 3.1957 4.0314
0.0000 0.0000 0.0000
1.7084 5.0973 7.1435
0.0000 1.9016 4.9507
1.7084 1.2941 0.9193
0.0000 4.4898 3.1121
```

=====

Entry 11:
# PdCl5

A relaxed structure of PdCl5 (PBE, the Alexandria database).

Output
DOS(E_F)	1.155	states/eV/cell
density	2.75	g/cm3
uncorrected formation energy	-0.2129	eV/atom

Geometry as POSCAR:
```
PdCl5
1.0
-0.0339 2.9822 2.2699
-1.7427 -1.8236 6.4955
5.7754 4.4971 9.9883
Cl Pd
5 1
Cartesian
1.6947 1.1698 7.7502
4.3458 4.7654 15.8110
3.3256 4.9081 8.6499
4.7847 5.0535 11.9473
0.0296 0.4132 9.1200
5.4536 4.3303 9.4965
```

=====

Entry 12:
# PdCl

A relaxed structure of PdCl (PBE, the Alexandria database).

Output
DOS(E_F)	9.916	states/eV/cell
density	5.61	g/cm3
uncorrected formation energy	-0.0244	eV/atom

Geometry as POSCAR:
```
PdCl
1.0
8.1688 0.0000 0.0000
0.0000 8.1688 0.0000
0.0000 0.0000 5.0301
Cl Pd
8 8
Cartesian
1.6032 5.1265 0.0000
7.1267 5.6876 2.5151
1.0421 2.4812 2.5151
2.4812 7.1267 2.5151
6.5656 3.0423 0.0000
5.6876 1.0421 2.5151
3.0423 1.6032 0.0000
5.1265 6.5656 0.0000
5.9679 0.6856 0.0000
7.4832 5.9679 0.0000
1.8835 4.7700 2.5151
4.7700 6.2853 2.5151
2.2009 7.4832 0.0000
3.3988 1.8835 2.5151
6.2853 3.3988 2.5151
0.6856 2.2009 0.0000
```

=====

uncorrected formation energy of number 8 (PdCl)? -0.1920 eV/atom

=====

What did the sixth record say?
# PdCl

A relaxed structure of PdCl (PBE, the Alexandria database).

Output
DOS(E_F)	5.202	states/eV/cell
density	5.51	g/cm3
uncorrected formation energy	0.0754	eV/atom

Geometry as POSCAR:
```
PdCl
1.0
-2.3460 1.3543 2.4233
-0.8798 -2.9535 -1.9269
2.9709 -4.3459 5.3049
Cl Pd
2 2
Cartesian
0.7669 -3.9205 5.6591
-0.2298 -3.1834 1.5566
-1.2670 -0.9452 2.0273
0.7072 -4.5540 3.2296
```